VASP calculation (PBE) on a relaxed LaV2PI crystal.

```
LaV2PI
1.0
4.749 0.000 0.000
0.000 5.674 0.000
0.000 0.000 4.749
I P V La
1 1 2 1
direct
0.000 0.000 0.000
0.000 0.500 0.000
0.000 0.000 0.500
0.500 0.000 0.000
0.500 0.500 0.500
```

Computed properties:
Fermi-level density of states: 10.5 states/eV per cell


VASP calculation (PBE) on a relaxed LaYPI crystal.

```
LaYPI
1.0
4.157 -0.001 0.000
-2.078 3.601 0.000
-2.078 -1.200 7.726
La Y P I
1 1 1 1
direct
0.507 0.152 0.674
0.097 0.946 0.059
0.316 0.556 0.887
0.958 0.377 0.350
```

Computed properties:
Fermi-level density of states: 1.3 states/eV per cell


VASP calculation (PBE) on a relaxed LaYP2I crystal.

```
LaYP2I
1.0
5.307 0.000 0.000
0.000 5.742 0.000
0.000 0.000 5.307
I Y P La
1 1 2 1
direct
0.000 0.000 0.000
0.500 0.500 0.500
0.000 0.000 0.500
0.500 0.000 0.000
0.000 0.500 0.000
```

Computed properties:
Fermi-level density of states: 6.2 states/eV per cell


VASP calculation (PBE) on a relaxed La2YP2I2 crystal.

```
La2YP2I2
1.0
5.268 0.000 0.000
0.000 5.268 0.000
-2.634 -2.634 8.387
La Y P I
2 1 2 2
direct
0.402 0.402 0.804
0.598 0.598 0.196
0.000 0.000 0.000
0.000 0.500 0.000
0.500 0.000 0.000
0.190 0.190 0.380
0.810 0.810 0.620
```

Computed properties:
Fermi-level density of states: 3.0 states/eV per cell


VASP calculation (PBE) on a relaxed La2ZnPI crystal.

```
La2ZnPI
1.0
-2.516 -4.941 1.614
1.346 0.658 4.112
-4.885 2.860 1.142
I P Zn La
1 1 1 2
direct
0.500 0.500 0.500
0.000 0.500 0.000
0.000 0.000 0.000
0.000 0.000 0.500
0.500 0.000 0.000
```

Computed properties:
Fermi-level density of states: 3.2 states/eV per cell


VASP calculation (PBE) on a relaxed La8ZnP3I4 crystal.

```
La8ZnP3I4
1.0
-7.261 -4.340 -1.848
1.635 -5.762 7.108
-0.338 8.486 1.685
La Zn P I
8 1 3 4
direct
0.238 0.700 0.962
0.238 0.700 0.476
0.269 0.307 0.538
0.724 0.700 0.962
0.276 0.300 0.038
0.731 0.693 0.462
0.762 0.300 0.524
0.762 0.300 0.038
0.000 0.500 0.000
0.500 0.500 0.000
0.500 0.500 0.500
0.000 0.500 0.500
0.500 0.000 0.000
0.500 0.000 0.500
0.000 0.000 0.000
0.000 0.000 0.500
```

Computed properties:
Fermi-level density of states: 12.4 states/eV per cell


VASP calculation (PBE) on a relaxed LaPb3I crystal.

```
LaPb3I
1.0
-3.451 3.711 3.675
-5.218 -2.270 -2.608
-0.214 -4.502 4.345
Pb I La
3 1 1
direct
0.000 0.500 0.000
0.000 0.000 0.500
0.500 0.000 0.000
0.500 0.500 0.500
0.000 0.000 0.000
```

Computed properties:
Offset from the most stable computed form: 0.085 eV/atom
Fermi-level density of states: 13.1 states/eV per cell


VASP calculation (PBE) on a relaxed LaPbI3 crystal.

```
LaPbI3
1.0
-2.934 -1.223 -5.403
1.272 -6.099 0.690
-5.392 -0.774 3.103
Pb I La
1 3 1
direct
0.500 0.500 0.500
0.000 0.500 0.000
0.000 0.000 0.500
0.500 0.000 0.000
0.000 0.000 0.000
```

Computed properties:
Offset from the most stable computed form: 0.000 eV/atom
Fermi-level density of states: 8.2 states/eV per cell


ΔE_f (raw)
In order: 1.07 -1.39 0.68 -1.29 -0.42 -1.23 0.50 -0.64
Unit: eV per atom